1.
DFT (PBE) results for a relaxed structure of TeOs2Pt.

The structure in POSCAR format:
```
TeOs2Pt
1.0
3.053 0.000 0.000
0.000 3.652 0.000
0.000 0.000 5.985
Os Pt Te
2 1 1
direct
0.000 0.000 0.025
0.000 0.000 0.475
0.500 0.500 0.250
0.500 0.500 0.750
```

Output
SG ... Pmmm (47)
ΔE_f (raw) ... 0.744 eV/atom
Crystal system ... orthorhombic


2.
DFT (PBE) results for a relaxed structure of BaHgOs2.

The structure in POSCAR format:
```
BaHgOs2
1.0
-2.111 2.635 2.472
-4.162 -0.303 0.308
-1.381 -3.611 6.213
Os Hg Ba
2 1 1
direct
0.023 0.023 0.931
0.710 0.710 0.870
0.278 0.278 0.168
0.489 0.489 0.532
```

Output
Calculated formation energy ... 0.34 eV per atom
SG ... R3m (160)
Crystal system ... trigonal


3.
DFT (PBE) results for a relaxed structure of YInCl2.

The structure in POSCAR format:
```
YInCl2
1.0
-2.903 1.485 0.717
-1.559 -2.001 -2.170
-1.748 -7.258 7.947
Y Cl In
1 2 1
direct
0.500 0.500 0.750
0.000 0.000 0.896
0.000 0.000 0.604
0.500 0.500 0.250
```

Output
Distance to the lowest polymorph of the same formula ... 37.8 meV per atom
SG ... P4/mmm (123)
ΔE_f (raw) ... -1.254 eV/atom
Crystal system ... tetragonal


4.
DFT (PBE) results for a relaxed structure of K2TlCdF5.

The structure in POSCAR format:
```
K2TlCdF5
1.0
-3.139 -2.149 -2.173
-0.029 -4.511 4.504
-2.879 6.584 2.065
K Tl Cd F
2 1 1 5
direct
0.214 0.214 0.427
0.786 0.786 0.573
0.000 0.500 0.000
0.500 0.000 0.000
0.630 0.888 0.259
0.370 0.112 0.741
0.370 0.628 0.741
0.630 0.372 0.259
0.000 0.000 0.000
```

Output
SG ... Immm (71)
ΔE_f (raw) ... -2.333 eV/atom
Crystal system ... orthorhombic


5.
DFT (PBE) results for a relaxed structure of MnAl2Rh.

The structure in POSCAR format:
```
MnAl2Rh
1.0
-0.806 3.977 1.464
-4.070 1.390 0.339
-1.775 0.547 3.893
Mn Rh Al
1 1 2
direct
0.500 0.500 0.500
0.250 0.250 0.250
0.000 0.000 0.000
0.750 0.750 0.750
```

Output
Calculated formation energy ... -0.40 eV per atom
SG ... F-43m (216)
Crystal system ... cubic


6.
DFT (PBE) results for a relaxed structure of TaCd2Sn.

The structure in POSCAR format:
```
TaCd2Sn
1.0
2.787 -3.343 -2.476
0.315 -4.715 1.657
-2.207 -3.702 -2.549
Cd Sn Ta
2 1 1
direct
0.250 0.250 0.250
0.750 0.750 0.750
0.000 0.000 0.000
0.500 0.500 0.500
```

Output
Calculated formation energy ... 0.74 eV per atom
Distance to the lowest polymorph of the same formula ... 156.9 meV per atom
SG ... Fm-3m (225)
Crystal system ... cubic


Calculated density values (in g/cm3) by entry order: 17.497, 11.389, 3.753, 4.553, 6.197, 9.808.
Total energy values (in eV/atom) by entry order: -7.166, -5.831, -4.478, -3.981, -6.399, -3.683.